A plane-wave DFT calculation with PBEsol was carried out for crystalline MgP2Pt at its relaxed geometry.

The value obtained for the volume is 67 Å³ per cell. The value obtained for the uncorrected energy is -21.91 eV for the cell shown. The calculation puts the formation energy at -412.4 meV/atom. Its density of states at the Fermi level is 1.472 states/eV per cell.

abc: 3.7143 3.7143 6.0690
angles: 107.52 107.52 59.19
Fractional coordinates of all 4 atoms:
1 Mg 0.0000 0.0000 0.0000
2 P 0.2352 0.2352 0.7030
3 P 0.7648 0.7648 0.2970
4 Pt 0.5000 0.5000 0.5000

---

A plane-wave DFT calculation with PBEsol was carried out for crystalline Mg2PPt at its relaxed geometry.

The value obtained for the volume is 139 Å³ per cell. The value obtained for the uncorrected energy is -34.06 eV for the cell shown. The calculation puts the formation energy at -210.8 meV/atom. Its density of states at the Fermi level is 2.933 states/eV per cell.

abc: 5.7246 5.7246 5.7246
angles: 103.44 103.44 122.34
Fractional coordinates of all 8 atoms:
1 Mg 0.1120 0.6250 0.9870
2 Mg 0.3750 0.3620 0.4870
3 Mg 0.6380 0.1250 0.0130
4 Mg 0.8750 0.8880 0.5130
5 P 0.0000 0.0000 0.0000
6 P 0.7500 0.2500 0.5000
7 Pt 0.2500 0.7500 0.5000
8 Pt 0.5000 0.5000 0.0000

---

A plane-wave DFT calculation with PBEsol was carried out for crystalline Mg2PPt at its relaxed geometry.

The value obtained for the volume is 70 Å³ per cell. The value obtained for the uncorrected energy is -18.75 eV for the cell shown. The calculation puts the formation energy at -640.2 meV/atom. Its density of states at the Fermi level is 1.653 states/eV per cell.

abc: 3.6670 5.2385 5.2385
angles: 43.81 90.00 90.00
Fractional coordinates of all 4 atoms:
1 Mg 0.0000 0.0000 0.0000
2 Mg 0.5000 0.2977 0.2977
3 P 0.0000 0.7276 0.7276
4 Pt 0.5000 0.5796 0.5796

---

A plane-wave DFT calculation with PBEsol was carried out for crystalline MgPPt5 at its relaxed geometry.

The value obtained for the volume is 105 Å³ per cell. The value obtained for the uncorrected energy is -46.50 eV for the cell shown. The calculation puts the formation energy at -596.4 meV/atom. Its density of states at the Fermi level is 3.098 states/eV per cell.

abc: 3.8961 3.8961 6.9099
angles: 90.00 90.00 90.00
Fractional coordinates of all 7 atoms:
1 Mg 0.0000 0.0000 0.0000
2 P 0.5000 0.5000 0.5000
3 Pt 0.0000 0.5000 0.2923
4 Pt 0.0000 0.5000 0.7077
5 Pt 0.5000 0.0000 0.2923
6 Pt 0.5000 0.0000 0.7077
7 Pt 0.5000 0.5000 0.0000

---

A plane-wave DFT calculation with PBEsol was carried out for crystalline Mg2PPt at its relaxed geometry.

The value obtained for the volume is 69 Å³ per cell. The value obtained for the uncorrected energy is -17.54 eV for the cell shown. The calculation puts the formation energy at -338.4 meV/atom. Its density of states at the Fermi level is 1.008 states/eV per cell.

abc: 3.8523 3.8523 6.8213
angles: 98.75 98.75 43.59
Fractional coordinates of all 4 atoms:
1 Mg 0.2481 0.2481 0.2458
2 Mg 0.7519 0.7519 0.7542
3 P 0.5000 0.5000 0.0000
4 Pt 0.0000 0.0000 0.5000

---

A plane-wave DFT calculation with PBEsol was carried out for crystalline Mg2PPt at its relaxed geometry.

The value obtained for the volume is 64 Å³ per cell. The value obtained for the uncorrected energy is -17.25 eV for the cell shown. The calculation puts the formation energy at -265.4 meV/atom. Its density of states at the Fermi level is 2.647 states/eV per cell.

abc: 4.4857 4.4857 4.4857
angles: 60.00 60.00 60.00
Fractional coordinates of all 4 atoms:
1 Mg 0.0000 0.0000 0.0000
2 Mg 0.2500 0.2500 0.2500
3 P 0.7500 0.7500 0.7500
4 Pt 0.5000 0.5000 0.5000

---

A plane-wave DFT calculation with PBEsol was carried out for crystalline MgP2Pt at its relaxed geometry.

The value obtained for the volume is 65 Å³ per cell. The value obtained for the uncorrected energy is -21.12 eV for the cell shown. The calculation puts the formation energy at -213.4 meV/atom. Its density of states at the Fermi level is 1.616 states/eV per cell.

abc: 6.0371 6.0371 6.0371
angles: 147.38 146.66 47.33
Fractional coordinates of all 4 atoms:
1 Mg 0.0000 0.0000 0.0000
2 P 0.4037 0.4037 0.0000
3 P 0.6834 0.1834 0.5000
4 Pt 0.2471 0.7471 0.5000

---

A plane-wave DFT calculation with PBEsol was carried out for crystalline MgP2Pt at its relaxed geometry.

The value obtained for the volume is 62 Å³ per cell. The value obtained for the uncorrected energy is -21.06 eV for the cell shown. The calculation puts the formation energy at -198.2 meV/atom. Its density of states at the Fermi level is 1.682 states/eV per cell.

abc: 4.5414 4.5414 4.5985
angles: 106.90 106.90 43.73
Fractional coordinates of all 4 atoms:
1 Mg 0.0000 0.0000 0.0000
2 P 0.4936 0.4936 0.5156
3 P 0.7608 0.7608 0.2454
4 Pt 0.2280 0.2280 0.6296

---

A plane-wave DFT calculation with PBEsol was carried out for crystalline Mg2PPt at its relaxed geometry.

The value obtained for the volume is 67 Å³ per cell. The value obtained for the uncorrected energy is -17.37 eV for the cell shown. The calculation puts the formation energy at -295.9 meV/atom. Its density of states at the Fermi level is 2.905 states/eV per cell.

abc: 3.4950 3.4950 5.4603
angles: 90.00 90.00 90.00
Fractional coordinates of all 4 atoms:
1 Mg 0.0000 0.0000 0.0000
2 Mg 0.5000 0.5000 0.3119
3 P 0.0000 0.0000 0.5293
4 Pt 0.5000 0.5000 0.8065

---

A plane-wave DFT calculation with PBEsol was carried out for crystalline RbMgP3 at its relaxed geometry.

The value obtained for the volume is 141 Å³ per cell. The value obtained for the uncorrected energy is -11.00 eV for the cell shown. The calculation puts the formation energy at 1823.2 meV/atom. Its density of states at the Fermi level is 3.969 states/eV per cell.

abc: 5.2016 5.2016 5.2016
angles: 90.00 90.00 90.00
Fractional coordinates of all 5 atoms:
1 Rb 0.0000 0.0000 0.0000
2 Mg 0.5000 0.5000 0.5000
3 P 0.0000 0.0000 0.5000
4 P 0.0000 0.5000 0.0000
5 P 0.5000 0.0000 0.0000

---

A plane-wave DFT calculation with PBEsol was carried out for crystalline Mg2ReP at its relaxed geometry.

The value obtained for the volume is 66 Å³ per cell. The value obtained for the uncorrected energy is -22.54 eV for the cell shown. The calculation puts the formation energy at 5.7 meV/atom. Its density of states at the Fermi level is 1.318 states/eV per cell.

abc: 5.3858 5.3858 5.3858
angles: 147.06 128.46 62.53
Fractional coordinates of all 4 atoms:
1 Mg 0.0000 0.0000 0.0000
2 Mg 0.7051 0.2051 0.5000
3 Re 0.2729 0.7729 0.5000
4 P 0.4603 0.4603 0.0000

---

A plane-wave DFT calculation with PBEsol was carried out for crystalline MgReP2 at its relaxed geometry.

The value obtained for the volume is 57 Å³ per cell. The value obtained for the uncorrected energy is -24.38 eV for the cell shown. The calculation puts the formation energy at 562.0 meV/atom. Its density of states at the Fermi level is 2.926 states/eV per cell.

abc: 4.3081 4.3081 4.3081
angles: 60.00 60.00 60.00
Fractional coordinates of all 4 atoms:
1 Mg 0.0000 0.0000 0.0000
2 Re 0.7500 0.7500 0.7500
3 P 0.2500 0.2500 0.2500
4 P 0.5000 0.5000 0.5000

---

A plane-wave DFT calculation with PBEsol was carried out for crystalline MgReP2 at its relaxed geometry.

The value obtained for the volume is 61 Å³ per cell. The value obtained for the uncorrected energy is -27.20 eV for the cell shown. The calculation puts the formation energy at -141.5 meV/atom. Its density of states at the Fermi level is 1.187 states/eV per cell.

abc: 4.4890 4.5659 4.5659
angles: 40.47 90.00 90.00
Fractional coordinates of all 4 atoms:
1 Mg 0.0000 0.0000 0.0000
2 Re 0.5000 0.6194 0.6194
3 P 0.0000 0.7255 0.7255
4 P 0.5000 0.3358 0.3358